Material: TaAlRe2
Method: DFT, PBE-GGA
State: optimized geometry

```
TaAlRe2
1.0
5.066 -0.014 0.000
2.202 4.562 0.000
-3.634 -2.274 2.699
Ta Al Re
1 1 2
direct
0.500 0.500 0.000
0.750 0.250 0.500
0.250 0.750 0.500
0.000 0.000 0.000
```

Values from the calculation:
V (A^3/atom): 15.62
Electronic total energy (eV per cell): -40.7
DOS at the Fermi energy (states/eV/atom): 0.930